Computed, not measured: an optimized crystal structure of Dy6SiGe2S3 at the PBE level of DFT.

a = 17.634 Å, b = 4.041 Å, c = 8.095 Å
α = 90.00°, β = 103.83°, γ = 90.00°
Space group C2/m (No. 12)
Unique sites:
Dy  0.000  0.000  0.248 x4
Dy  0.166  0.500  0.083 x4
Dy  0.166  0.500  0.583 x4
Si  0.000  0.500  0.000 x2
Ge  0.167  0.000  0.333 x4
S  0.000  0.500  0.500 x2
S  0.167  0.000  0.833 x4

Output
* volume: 560 Å³ per cell
* formation energy without anion corrections: -1.427 eV per atom
* size of the total moment: 0.00 Bohr magnetons per cell